Entry 1:
{
  "formula": "TbCe6In2",
  "functional": "PBE-GGA",
  "state": "optimized geometry",
  "lattice": [[8.000, -2.098, 0.000], [8.000, 2.098, 0.000], [-2.952, 0.000, 7.322]],
  "species": ["Tb", "Ce", "Ce", "Ce", "Ce", "Ce", "Ce", "In", "In"],
  "frac_coords": [[0.000, 0.000, 0.000], [0.116, 0.116, 0.696], [0.228, 0.228, 0.374], [0.336, 0.336, 0.052], [0.664, 0.664, 0.948], [0.772, 0.772, 0.626], [0.884, 0.884, 0.304], [0.441, 0.441, 0.665], [0.559, 0.559, 0.335]],
  "ef_ev_per_atom": -0.1570,
  "sg": "C2/m"
}

Entry 2:
{
  "formula": "PrHo2MgPd4",
  "functional": "PBE-GGA",
  "state": "optimized geometry",
  "lattice": [[2.422, 1.399, 8.296], [-2.422, 1.399, 8.296], [0.000, -2.797, 8.296]],
  "species": ["Pr", "Ho", "Ho", "Mg", "Pd", "Pd", "Pd", "Pd"],
  "frac_coords": [[0.000, 0.000, 0.000], [0.242, 0.242, 0.242], [0.758, 0.758, 0.758], [0.500, 0.500, 0.500], [0.127, 0.127, 0.127], [0.388, 0.388, 0.388], [0.612, 0.612, 0.612], [0.873, 0.873, 0.873]],
  "ef_ev_per_atom": -0.7943,
  "sg": "R-3m"
}

Entry 3:
{
  "formula": "Pm2Y2Ag3",
  "functional": "PBE-GGA",
  "state": "optimized geometry",
  "lattice": [[5.144, 0.000, 0.000], [2.570, 4.464, 0.000], [2.565, 1.490, 8.414]],
  "species": ["Pm", "Pm", "Y", "Y", "Ag", "Ag", "Ag"],
  "frac_coords": [[0.126, 0.127, 0.119], [0.874, 0.873, 0.881], [0.376, 0.377, 0.370], [0.624, 0.623, 0.630], [0.000, 0.000, 0.500], [0.253, 0.252, 0.742], [0.747, 0.748, 0.258]],
  "ef_ev_per_atom": -0.1476,
  "sg": "P-1"
}

Entry 4:
{
  "formula": "Ni6PdPt3",
  "functional": "PBE-GGA",
  "state": "optimized geometry",
  "lattice": [[6.999, 0.000, 0.000], [0.000, 4.308, 0.000], [-3.217, 0.000, 8.610]],
  "species": ["Ni", "Ni", "Ni", "Ni", "Ni", "Ni", "Ni", "Ni", "Ni", "Ni", "Ni", "Ni", "Pd", "Pd", "Pt", "Pt", "Pt", "Pt", "Pt", "Pt"],
  "frac_coords": [[0.003, 0.250, 0.173], [0.011, 0.250, 0.673], [0.191, 0.750, 0.629], [0.199, 0.250, 0.967], [0.392, 0.750, 0.432], [0.397, 0.250, 0.765], [0.603, 0.750, 0.235], [0.608, 0.250, 0.568], [0.801, 0.750, 0.033], [0.809, 0.250, 0.371], [0.989, 0.750, 0.327], [0.997, 0.750, 0.827], [0.388, 0.750, 0.927], [0.612, 0.250, 0.073], [0.187, 0.750, 0.131], [0.198, 0.250, 0.472], [0.412, 0.250, 0.274], [0.588, 0.750, 0.726], [0.802, 0.750, 0.528], [0.813, 0.250, 0.869]],
  "ef_ev_per_atom": -0.0259,
  "sg": "P2_1/m"
}

Entry 5:
{
  "formula": "Nb4CrS8",
  "functional": "PBE-GGA",
  "state": "optimized geometry",
  "lattice": [[6.693, 0.000, 0.000], [-3.346, 5.796, 0.000], [0.000, 0.000, 12.083]],
  "species": ["Nb", "Nb", "Nb", "Nb", "Nb", "Nb", "Nb", "Nb", "Cr", "Cr", "S", "S", "S", "S", "S", "S", "S", "S", "S", "S", "S", "S", "S", "S", "S", "S"],
  "frac_coords": [[0.000, 0.000, 0.250], [0.000, 0.000, 0.750], [0.013, 0.506, 0.250], [0.494, 0.506, 0.250], [0.494, 0.987, 0.250], [0.506, 0.013, 0.750], [0.506, 0.494, 0.750], [0.987, 0.494, 0.750], [0.000, 0.000, 0.000], [0.000, 0.000, 0.500], [0.166, 0.332, 0.620], [0.166, 0.332, 0.880], [0.166, 0.834, 0.620], [0.166, 0.834, 0.880], [0.332, 0.166, 0.120], [0.332, 0.166, 0.380], [0.333, 0.667, 0.117], [0.333, 0.667, 0.383], [0.667, 0.333, 0.617], [0.667, 0.333, 0.883], [0.668, 0.834, 0.620], [0.668, 0.834, 0.880], [0.834, 0.166, 0.120], [0.834, 0.166, 0.380], [0.834, 0.668, 0.120], [0.834, 0.668, 0.380]],
  "formation_energy_uncorrected_ev_per_atom": -1.1015,
  "sg": "P6_3/mmc"
}

Entry 6:
{
  "formula": "SrSmIn",
  "functional": "PBE-GGA",
  "state": "optimized geometry",
  "lattice": [[5.504, 0.000, 0.000], [-2.752, 4.767, 0.000], [0.000, 0.000, 3.895]],
  "species": ["Sr", "Sm", "In"],
  "frac_coords": [[0.000, 0.000, 0.000], [0.333, 0.667, 0.438], [0.667, 0.333, 0.622]],
  "ef_ev_per_atom": -0.1601,
  "sg": "P3m1"
}

Entry 7:
{
  "formula": "Ac2MgMnS5",
  "functional": "PBE-GGA",
  "state": "optimized geometry",
  "lattice": [[2.061, -8.533, 0.000], [2.061, 8.533, 0.000], [0.000, 0.000, 11.896]],
  "species": ["Ac", "Ac", "Ac", "Ac", "Mg", "Mg", "Mn", "Mn", "S", "S", "S", "S", "S", "S", "S", "S", "S", "S"],
  "frac_coords": [[0.115, 0.885, 0.500], [0.132, 0.868, 0.116], [0.868, 0.132, 0.616], [0.885, 0.115, 0.000], [0.205, 0.795, 0.825], [0.795, 0.205, 0.325], [0.441, 0.559, 0.267], [0.559, 0.441, 0.767], [0.051, 0.949, 0.866], [0.290, 0.710, 0.471], [0.312, 0.688, 0.174], [0.354, 0.646, 0.813], [0.498, 0.502, 0.589], [0.502, 0.498, 0.089], [0.646, 0.354, 0.313], [0.688, 0.312, 0.674], [0.710, 0.290, 0.971], [0.949, 0.051, 0.366]],
  "formation_energy_uncorrected_ev_per_atom": -1.6600,
  "sg": "Cmc2_1"
}

Entry 8:
{
  "formula": "Al2CdW",
  "functional": "PBE-GGA",
  "state": "optimized geometry",
  "lattice": [[3.008, 0.000, 0.000], [0.000, 3.780, 0.000], [0.000, 0.000, 5.972]],
  "species": ["Al", "Al", "Cd", "W"],
  "frac_coords": [[0.000, 0.000, 0.221], [0.000, 0.000, 0.779], [0.500, 0.500, 0.500], [0.500, 0.500, 0.000]],
  "ef_ev_per_atom": 0.1623,
  "sg": "Pmmm"
}